Record 1
A plane-wave DFT calculation with GGA+U was carried out for a geometry-optimized TbZn3Cr4O12 structure.

```
TbZn3Cr4O12
1.0
-6.366 0.948 -0.238
1.362 -5.954 -2.042
2.051 0.711 6.064
Tb Zn Cr O
1 3 4 12
direct
0.000 0.000 0.000
0.000 0.500 0.500
0.500 0.500 0.000
0.500 0.000 0.500
0.500 0.000 0.000
0.500 0.500 0.500
0.000 0.500 0.000
0.000 0.000 0.500
0.295 0.818 0.114
0.705 0.182 0.886
0.705 0.818 0.523
0.886 0.705 0.182
0.818 0.114 0.295
0.182 0.477 0.295
0.477 0.295 0.182
0.182 0.886 0.705
0.295 0.182 0.477
0.114 0.295 0.818
0.818 0.523 0.705
0.523 0.705 0.818
```

Properties
total magnetic moment = 0.450 μB per atom
E = -133.29 eV per cell

Record 2
A plane-wave DFT calculation with GGA+U was carried out for a geometry-optimized Cr2TcO structure.

```
Cr2TcO
1.0
5.898 0.000 0.000
0.000 5.898 0.000
2.949 2.949 3.581
Cr Tc O
4 2 2
direct
0.533 0.125 0.250
0.217 0.625 0.250
0.375 0.467 0.750
0.875 0.783 0.750
0.000 0.000 0.000
0.750 0.250 0.500
0.500 0.500 0.000
0.250 0.750 0.500
```

Properties
total magnetic moment = 1.244 μB per atom
E = -59.15 eV per cell

Record 3
A plane-wave DFT calculation with GGA+U was carried out for a geometry-optimized CrTcO2 structure.

```
CrTcO2
1.0
-1.178 -1.952 -3.060
-2.999 1.234 -2.011
0.510 1.443 -3.496
Cr Tc O
1 1 2
direct
0.000 0.000 0.000
0.500 0.500 0.500
0.250 0.250 0.250
0.750 0.750 0.750
```

Properties
total magnetic moment = 0.233 μB per atom
E = -26.15 eV per cell
excess energy over the best structure of this formula in the dataset = 1587 meV/atom

Record 4
A plane-wave DFT calculation with GGA+U was carried out for a geometry-optimized Cr3TcO structure.

```
Cr3TcO
1.0
4.787 0.000 0.000
0.000 4.787 0.000
0.000 0.000 4.787
Cr Tc O
3 1 1
direct
0.000 0.500 0.000
0.000 0.000 0.500
0.500 0.000 0.000
0.000 0.000 0.000
0.500 0.500 0.500
```

Properties
total magnetic moment = 2.192 μB per atom
E = -30.22 eV per cell
excess energy over the best structure of this formula in the dataset = 1421 meV/atom

Record 5
A plane-wave DFT calculation with GGA+U was carried out for a geometry-optimized CrTcO2 structure.

```
CrTcO2
1.0
2.128 5.867 1.759
4.241 4.903 0.090
1.922 6.096 -1.085
Cr Tc O
1 1 2
direct
0.500 0.500 0.500
0.000 0.000 0.000
0.891 0.891 0.891
0.109 0.109 0.109
```

Properties
total magnetic moment = 0.834 μB per atom
E = -32.50 eV per cell
excess energy over the best structure of this formula in the dataset = 0 meV/atom

Record 6
A plane-wave DFT calculation with GGA+U was carried out for a geometry-optimized CrTcO2 structure.

```
CrTcO2
1.0
-0.252 -2.976 -2.821
-2.061 -2.351 2.665
-6.228 -0.406 -2.007
Cr Tc O
2 2 4
direct
0.500 0.500 0.000
0.250 0.750 0.500
0.000 0.000 0.000
0.750 0.250 0.500
0.653 0.125 0.250
0.097 0.625 0.250
0.375 0.347 0.750
0.875 0.903 0.750
```

Properties
total magnetic moment = 0.721 μB per atom
E = -60.94 eV per cell
excess energy over the best structure of this formula in the dataset = 507 meV/atom

Repeat the sixth record exactly.
A plane-wave DFT calculation with GGA+U was carried out for a geometry-optimized CrTcO2 structure.

```
CrTcO2
1.0
-0.252 -2.976 -2.821
-2.061 -2.351 2.665
-6.228 -0.406 -2.007
Cr Tc O
2 2 4
direct
0.500 0.500 0.000
0.250 0.750 0.500
0.000 0.000 0.000
0.750 0.250 0.500
0.653 0.125 0.250
0.097 0.625 0.250
0.375 0.347 0.750
0.875 0.903 0.750
```

Properties
total magnetic moment = 0.721 μB per atom
E = -60.94 eV per cell
excess energy over the best structure of this formula in the dataset = 507 meV/atom

Repeat the first record exactly.
A plane-wave DFT calculation with GGA+U was carried out for a geometry-optimized TbZn3Cr4O12 structure.

```
TbZn3Cr4O12
1.0
-6.366 0.948 -0.238
1.362 -5.954 -2.042
2.051 0.711 6.064
Tb Zn Cr O
1 3 4 12
direct
0.000 0.000 0.000
0.000 0.500 0.500
0.500 0.500 0.000
0.500 0.000 0.500
0.500 0.000 0.000
0.500 0.500 0.500
0.000 0.500 0.000
0.000 0.000 0.500
0.295 0.818 0.114
0.705 0.182 0.886
0.705 0.818 0.523
0.886 0.705 0.182
0.818 0.114 0.295
0.182 0.477 0.295
0.477 0.295 0.182
0.182 0.886 0.705
0.295 0.182 0.477
0.114 0.295 0.818
0.818 0.523 0.705
0.523 0.705 0.818
```

Properties
total magnetic moment = 0.450 μB per atom
E = -133.29 eV per cell